TaNbH: relaxed, PBE.

Calculated volume (Å³/atom): 13.1
Calculated total energy (eV/f.u.): -25.7
Spin magnetization (μB/f.u.): 0.0

```
data_TaNbH
_space_group_name_H-M_alt 'I m a 2'
_space_group_IT_number 46
_space_group_name_Hall 'I 2 -2a'
_cell_length_a 4.769
_cell_length_b 4.777
_cell_length_c 6.876
_cell_angle_alpha 90.00
_cell_angle_beta 90.00
_cell_angle_gamma 90.00
loop_
_atom_site_label
_atom_site_fract_x
_atom_site_fract_y
_atom_site_fract_z
_atom_site_occupancy
Ta1 0.250 0.236 0.000 1
Nb1 0.250 0.739 0.757 1
H1 0.000 0.000 0.627 1
```

AuSe2Br2: relaxed, PBE.

Uncorrected formation energy (meV/atom): 83
Calculated volume (Å³/atom): 26.2
Calculated total energy (eV/f.u.): -13.2
Spin magnetization (μB/f.u.): 0.0

```
data_AuSe2Br2
_space_group_name_H-M_alt 'P 4/m b m'
_space_group_IT_number 127
_space_group_name_Hall '-P 4 2ab'
_cell_length_a 6.999
_cell_length_b 6.999
_cell_length_c 5.343
_cell_angle_alpha 90.00
_cell_angle_beta 90.00
_cell_angle_gamma 90.00
loop_
_atom_site_label
_atom_site_fract_x
_atom_site_fract_y
_atom_site_fract_z
_atom_site_occupancy
Au1 0.000 0.000 0.000 1
Se1 0.160 0.340 0.000 1
Br1 0.177 0.323 0.500 1
```

CaHfSi2Ge: relaxed, PBE.

Uncorrected formation energy (meV/atom): 881
Calculated volume (Å³/atom): 29.0
Calculated total energy (eV/f.u.): -23.0
Spin magnetization (μB/f.u.): 0.0

```
data_CaHfSi2Ge
_space_group_name_H-M_alt 'P 4/m m m'
_space_group_IT_number 123
_space_group_name_Hall '-P 4 2'
_cell_length_a 5.052
_cell_length_b 5.052
_cell_length_c 5.679
_cell_angle_alpha 90.00
_cell_angle_beta 90.00
_cell_angle_gamma 90.00
loop_
_atom_site_label
_atom_site_fract_x
_atom_site_fract_y
_atom_site_fract_z
_atom_site_occupancy
Ca1 0.000 0.000 0.000 1
Hf1 0.000 0.000 0.500 1
Si1 0.000 0.500 0.500 1
Ge1 0.500 0.500 0.000 1
```